This record from the Alexandria database describes LiIr2Pt after structural relaxation. The functional is GGA-PBE.

Cell: 2.709 4.570 4.690 Å, 90.00 90.00 90.00°
Element x y z (fractional)
Li 0.000 0.000 0.000
Ir 0.000 0.500 0.500
Ir 0.500 0.000 0.500
Pt 0.500 0.500 0.000

Computed properties:
Its formation energy is -0.052 eV per atom. As for the symmetry: Pmmm (47). For the relative energy among the computed polymorphs, the calculation gives 117.6 meV per atom. As for the crystal system: orthorhombic.